(1)
Density functional theory data (PBE) for a relaxed NiP2W crystal.

Lattice parameters (Å, degrees): 2.849 2.849 7.160 90.00 90.00 109.64
Sites, in units of the cell vectors:
Ni: 0.500 0.500 0.750
W: 0.500 0.500 0.250
P: 0.000 0.000 0.986
P: 0.000 0.000 0.514

Output
Energy relative to the elements in eV/f.u.: 1.01
Space-group type: Cmmm, No. 65
Total magnetic moment in μB per formula unit: 0.0

---

(2)
Density functional theory data (PBE) for a relaxed NiP2W crystal.

Lattice parameters (Å, degrees): 3.072 3.100 5.951 72.91 90.00 90.00
Sites, in units of the cell vectors:
P: 0.000 0.626 0.490
P: 0.000 0.874 0.010
W: 0.500 0.250 0.250
Ni: 0.500 0.750 0.750

Output
Energy relative to the elements in eV/f.u.: -0.49
Space-group type: P2/m, No. 10
Total magnetic moment in μB per formula unit: 0.0

---

Copy entry 1 word for word.
Density functional theory data (PBE) for a relaxed NiP2W crystal.

Lattice parameters (Å, degrees): 2.849 2.849 7.160 90.00 90.00 109.64
Sites, in units of the cell vectors:
Ni: 0.500 0.500 0.750
W: 0.500 0.500 0.250
P: 0.000 0.000 0.986
P: 0.000 0.000 0.514

Output
Energy relative to the elements in eV/f.u.: 1.01
Space-group type: Cmmm, No. 65
Total magnetic moment in μB per formula unit: 0.0